Record 1
{"formula": "DyGaPbO4", "functional": "PBE", "state": "relaxed", "e_form_raw_ev_per_atom": -2.137, "total_magnetization_mub_per_fu": 0.00, "crystal_system": "monoclinic", "lattice_angstrom": [[5.909, 0.000, 0.369], [0.000, 5.834, 0.000], [-1.900, 0.000, 6.746]], "species": ["Dy", "Dy", "Ga", "Ga", "Pb", "Pb", "O", "O", "O", "O", "O", "O", "O", "O"], "frac_coords": [[0.813, 0.750, 0.431], [0.187, 0.250, 0.569], [0.292, 0.750, 0.341], [0.708, 0.250, 0.659], [0.708, 0.750, 0.884], [0.292, 0.250, 0.116], [0.924, 0.490, 0.678], [0.076, 0.990, 0.322], [0.076, 0.510, 0.322], [0.924, 0.010, 0.678], [0.500, 0.750, 0.179], [0.500, 0.250, 0.821], [0.491, 0.750, 0.585], [0.509, 0.250, 0.415]]}

=====

Record 2
{"formula": "Cs2TlSn2Cl7", "functional": "PBE", "state": "relaxed", "e_form_raw_ev_per_atom": -1.338, "total_magnetization_mub_per_fu": 0.00, "crystal_system": "monoclinic", "lattice_angstrom": [[5.597, -0.003, 0.018], [0.004, 5.597, 0.018], [2.790, 2.786, 14.209]], "species": ["Cs", "Cs", "Tl", "Sn", "Sn", "Cl", "Cl", "Cl", "Cl", "Cl", "Cl", "Cl"], "frac_coords": [[0.816, 0.816, 0.362], [0.184, 0.184, 0.638], [0.000, 0.000, 0.000], [0.599, 0.599, 0.803], [0.401, 0.401, 0.197], [0.500, 0.500, 0.000], [0.306, 0.306, 0.395], [0.694, 0.694, 0.605], [0.904, 0.407, 0.187], [0.407, 0.904, 0.187], [0.593, 0.096, 0.813], [0.096, 0.593, 0.813]]}

=====

Record 3
{"formula": "NdSn4Sb", "functional": "PBE", "state": "relaxed", "e_form_raw_ev_per_atom": -0.183, "total_magnetization_mub_per_fu": 0.00, "crystal_system": "cubic", "lattice_angstrom": [[6.188, 0.000, 0.000], [3.094, 5.359, 0.000], [3.094, 1.786, 5.052]], "species": ["Sb", "Nd", "Sn", "Sn", "Sn", "Sn"], "frac_coords": [[0.250, 0.250, 0.250], [0.000, 0.000, 0.000], [0.625, 0.625, 0.125], [0.625, 0.125, 0.625], [0.625, 0.625, 0.625], [0.125, 0.625, 0.625]]}

=====

Record 4
{"formula": "HfPa2Ge3Ir6", "functional": "PBE", "state": "relaxed", "e_form_kj_per_mol_atoms": -37.05, "total_magnetization_mub_per_fu": 0.00, "crystal_system": "tetragonal", "lattice_angstrom": [[3.979, 0.000, 0.000], [0.000, 3.979, 0.000], [0.000, 0.000, 16.056]], "species": ["Hf", "Pa", "Pa", "Ge", "Ge", "Ge", "Ir", "Ir", "Ir", "Ir", "Ir", "Ir"], "frac_coords": [[0.500, 0.500, 0.500], [0.500, 0.500, 0.215], [0.500, 0.500, 0.785], [0.000, 0.000, 0.298], [0.000, 0.000, 0.702], [0.000, 0.000, 0.000], [0.000, 0.500, 0.617], [0.500, 0.000, 0.383], [0.500, 0.000, 0.617], [0.000, 0.000, 0.148], [0.000, 0.500, 0.383], [0.000, 0.000, 0.852]]}

=====

Record 5
{"formula": "Be3CuTe", "functional": "PBE", "state": "relaxed", "e_form_raw_ev_per_atom": 0.669, "total_magnetization_mub_per_fu": 0.00, "crystal_system": "cubic", "relative_energy_mev_per_atom": 0.0, "lattice_angstrom": [[4.215, 0.000, 0.000], [0.000, 4.215, 0.000], [0.000, 0.000, 4.215]], "species": ["Be", "Be", "Be", "Te", "Cu"], "frac_coords": [[0.000, 0.500, 0.000], [0.000, 0.000, 0.500], [0.500, 0.000, 0.000], [0.500, 0.500, 0.500], [0.000, 0.000, 0.000]]}

=====

Record 6
{"formula": "Hf6Zr2Pt", "functional": "PBE", "state": "relaxed", "e_form_kj_per_mol_atoms": -5.08, "total_magnetization_mub_per_fu": 0.00, "crystal_system": "orthorhombic", "lattice_angstrom": [[3.115, 0.000, -0.067], [0.000, 9.053, 0.000], [-1.406, -4.526, 6.995]], "species": ["Hf", "Hf", "Hf", "Hf", "Hf", "Hf", "Zr", "Zr", "Pt"], "frac_coords": [[0.174, 0.339, 0.346], [0.826, 0.992, 0.654], [0.826, 0.661, 0.654], [0.500, 0.312, 0.000], [0.174, 0.008, 0.346], [0.500, 0.688, 0.000], [0.154, 0.655, 0.310], [0.846, 0.345, 0.690], [0.000, 0.000, 0.000]]}

=====

Record 7
{"formula": "Ac2La2Cd", "functional": "PBE", "state": "relaxed", "e_form_kj_per_mol_atoms": -3.10, "total_magnetization_mub_per_fu": 0.00, "crystal_system": "monoclinic", "relative_energy_mev_per_atom": 70.5, "lattice_angstrom": [[8.928, 0.000, 0.711], [4.464, 5.088, 0.355], [4.533, 0.000, 8.589]], "species": ["Ac", "Ac", "Ac", "Ac", "La", "La", "La", "La", "Cd", "Cd"], "frac_coords": [[0.665, 0.380, 0.726], [0.335, 0.620, 0.274], [0.045, 0.620, 0.726], [0.955, 0.380, 0.274], [0.731, 0.000, 0.424], [0.594, 0.000, 0.123], [0.406, 0.000, 0.877], [0.269, 0.000, 0.576], [0.145, 0.710, 0.000], [0.855, 0.290, 0.000]]}

=====

Record 8
{"formula": "V3Cu2N", "functional": "PBE", "state": "relaxed", "e_form_raw_ev_per_atom": -0.448, "total_magnetization_mub_per_fu": 0.00, "crystal_system": "cubic", "lattice_angstrom": [[-6.196, 1.426, -1.267], [1.109, -0.811, -6.336], [-1.553, -6.272, 0.532]], "species": ["V", "V", "V", "V", "V", "V", "V", "V", "V", "V", "V", "V", "Cu", "Cu", "Cu", "Cu", "Cu", "Cu", "Cu", "Cu", "N", "N", "N", "N"], "frac_coords": [[0.625, 0.290, 0.540], [0.710, 0.040, 0.875], [0.540, 0.625, 0.290], [0.960, 0.375, 0.790], [0.290, 0.540, 0.625], [0.460, 0.125, 0.210], [0.040, 0.875, 0.710], [0.790, 0.960, 0.375], [0.210, 0.460, 0.125], [0.875, 0.710, 0.040], [0.375, 0.790, 0.960], [0.125, 0.210, 0.460], [0.572, 0.428, 0.928], [0.678, 0.678, 0.678], [0.928, 0.572, 0.428], [0.428, 0.928, 0.572], [0.178, 0.822, 0.322], [0.822, 0.322, 0.178], [0.322, 0.178, 0.822], [0.072, 0.072, 0.072], [0.875, 0.125, 0.625], [0.125, 0.625, 0.875], [0.625, 0.875, 0.125], [0.375, 0.375, 0.375]]}

=====

Record 9
{"formula": "CaMnN", "functional": "PBE", "state": "relaxed", "e_form_raw_ev_per_atom": -0.378, "total_magnetization_mub_per_fu": 0.34, "crystal_system": "tetragonal", "lattice_angstrom": [[-0.411, -3.109, -1.018], [1.971, 0.584, -2.578], [6.604, -2.351, 4.516]], "species": ["Ca", "Ca", "N", "N", "Mn", "Mn"], "frac_coords": [[0.000, 0.500, 0.800], [0.500, 0.000, 0.200], [0.000, 0.500, 0.363], [0.500, 0.000, 0.637], [0.500, 0.500, 0.500], [0.000, 0.000, 0.500]]}

=====

Record 10
{"formula": "Sc4Pd3Rh", "functional": "PBE", "state": "relaxed", "e_form_kj_per_mol_atoms": -89.78, "total_magnetization_mub_per_fu": 0.00, "crystal_system": "tetragonal", "lattice_angstrom": [[3.277, 0.000, 0.000], [0.000, 3.277, 0.000], [0.000, 0.000, 13.264]], "species": ["Sc", "Sc", "Sc", "Sc", "Rh", "Pd", "Pd", "Pd"], "frac_coords": [[0.000, 0.000, 0.881], [0.000, 0.000, 0.119], [0.000, 0.000, 0.373], [0.000, 0.000, 0.627], [0.500, 0.500, 0.000], [0.500, 0.500, 0.247], [0.500, 0.500, 0.500], [0.500, 0.500, 0.753]]}

=====

Record 11
{"formula": "Hf4BeRu3", "functional": "PBE", "state": "relaxed", "e_form_kj_per_mol_atoms": -60.52, "total_magnetization_mub_per_fu": 0.00, "crystal_system": "tetragonal", "lattice_angstrom": [[3.232, 0.000, 0.000], [0.000, 3.232, 0.000], [0.000, 0.000, 12.804]], "species": ["Be", "Hf", "Hf", "Hf", "Hf", "Ru", "Ru", "Ru"], "frac_coords": [[0.500, 0.500, 0.000], [0.000, 0.000, 0.881], [0.000, 0.000, 0.119], [0.000, 0.000, 0.373], [0.000, 0.000, 0.627], [0.500, 0.500, 0.245], [0.500, 0.500, 0.500], [0.500, 0.500, 0.755]]}

=====

Record 12
{"formula": "AcSbRhSe", "functional": "PBE", "state": "relaxed", "e_form_raw_ev_per_atom": -1.071, "total_magnetization_mub_per_fu": 0.00, "crystal_system": "tetragonal", "lattice_angstrom": [[4.891, 0.000, 0.000], [0.000, 4.891, 0.000], [0.000, 0.000, 9.052]], "species": ["Ac", "Ac", "Sb", "Sb", "Rh", "Rh", "Se", "Se"], "frac_coords": [[0.500, 0.000, 0.693], [0.000, 0.500, 0.307], [0.000, 0.500, 0.877], [0.500, 0.000, 0.123], [0.500, 0.500, 0.000], [0.000, 0.000, 0.000], [0.000, 0.000, 0.500], [0.500, 0.500, 0.500]]}